{
  "formula": "Sr2TaAsPt",
  "functional": "PBE",
  "state": "relaxed",
  "formation_enthalpy_0k_ev_per_atom": 0.643,
  "vol_a3_per_atom": 35.51,
  "density_g_cm3": 5.9,
  "magnetic_moment_mub_per_atom": 0.446,
  "lattice": [[6.0888, 0.0000, 0.0000], [0.0000, 6.0888, 0.0000], [0.0000, 0.0000, 4.7898]],
  "species": ["Sr", "Sr", "Ta", "As", "Pt"],
  "frac_coords": [[0.0000, 0.5000, 0.0000], [0.5000, 0.0000, 0.0000], [0.0000, 0.0000, 0.0000], [0.0000, 0.0000, 0.5000], [0.5000, 0.5000, 0.5000]]
}